a.
A relaxed La2PS crystal. Source: the Alexandria database, functional PBE-GGA.

The structure in POSCAR format:
```
La2PS
1.0
7.208 0.000 0.000
0.000 7.208 0.000
0.000 0.000 7.208
La P S
8 4 4
direct
0.250 0.250 0.250
0.250 0.250 0.750
0.250 0.750 0.250
0.250 0.750 0.750
0.750 0.250 0.250
0.750 0.250 0.750
0.750 0.750 0.250
0.750 0.750 0.750
0.000 0.000 0.000
0.000 0.500 0.500
0.500 0.000 0.500
0.500 0.500 0.000
0.000 0.000 0.500
0.000 0.500 0.000
0.500 0.000 0.000
0.500 0.500 0.500
```

Values from the calculation:
SG ... Fm-3m, No. 225
Total magnetization ... 0.00 μB/cell

***

b.
A relaxed La2PS crystal. Source: the Alexandria database, functional PBE-GGA.

The structure in POSCAR format:
```
La2PS
1.0
4.222 0.000 0.000
0.000 5.962 0.000
0.000 0.000 8.437
La P S
4 2 2
direct
0.250 0.250 0.120
0.250 0.250 0.630
0.750 0.750 0.370
0.750 0.750 0.880
0.250 0.750 0.129
0.750 0.250 0.871
0.250 0.750 0.623
0.750 0.250 0.377
```

Values from the calculation:
SG ... Pmmn, No. 59
Total magnetization ... 0.00 μB/cell

***

c.
A relaxed La2PS crystal. Source: the Alexandria database, functional PBE-GGA.

The structure in POSCAR format:
```
La2PS
1.0
6.548 0.000 0.000
0.000 6.548 0.000
0.000 0.000 13.196
La P S
8 4 4
direct
0.248 0.250 0.125
0.250 0.748 0.375
0.250 0.752 0.875
0.252 0.250 0.625
0.748 0.750 0.625
0.750 0.248 0.875
0.750 0.252 0.375
0.752 0.750 0.125
0.000 0.000 0.000
0.000 0.500 0.250
0.500 0.000 0.750
0.500 0.500 0.500
0.000 0.000 0.500
0.000 0.500 0.750
0.500 0.000 0.250
0.500 0.500 0.000
```

Values from the calculation:
SG ... I-42d, No. 122
Total magnetization ... 4.00 μB/cell

***

d.
A relaxed La2PS crystal. Source: the Alexandria database, functional PBE-GGA.

The structure in POSCAR format:
```
La2PS
1.0
4.130 0.000 0.000
-2.065 3.577 0.000
0.000 0.000 21.864
La P S
6 3 3
direct
0.000 0.000 0.000
0.000 0.000 0.177
0.333 0.667 0.667
0.333 0.667 0.844
0.667 0.333 0.333
0.667 0.333 0.511
0.000 0.000 0.589
0.333 0.667 0.256
0.667 0.333 0.923
0.000 0.000 0.420
0.333 0.667 0.087
0.667 0.333 0.754
```

Values from the calculation:
SG ... R3m, No. 160
Total magnetization ... 0.00 μB/cell

***

Stability comparison, relative energies in kJ/mol of atoms: a 33.2; b 0.0; c 50.4; d 11.1

***

a.
A relaxed La5P4S crystal. Source: the Alexandria database, functional PBE-GGA.

The structure in POSCAR format:
```
La5P4S
1.0
-2.126 2.126 15.045
2.126 -2.126 15.045
2.126 2.126 -15.045
La P S
5 4 1
direct
0.000 0.000 0.000
0.200 0.200 0.000
0.399 0.399 0.000
0.601 0.601 0.000
0.800 0.800 0.000
0.098 0.098 0.000
0.301 0.301 0.000
0.699 0.699 0.000
0.902 0.902 0.000
0.500 0.500 0.000
```

Values from the calculation:
SG ... I4/mmm, No. 139
Total magnetization ... 0.00 μB/cell

***

b.
A relaxed La5P4S crystal. Source: the Alexandria database, functional PBE-GGA.

The structure in POSCAR format:
```
La5P4S
1.0
-2.128 3.006 10.639
2.128 -3.006 10.639
2.128 3.006 -10.639
La P S
5 4 1
direct
0.000 0.000 0.000
0.200 0.200 0.000
0.398 0.398 0.000
0.602 0.602 0.000
0.800 0.800 0.000
0.099 0.599 0.500
0.301 0.801 0.500
0.699 0.199 0.500
0.901 0.401 0.500
0.500 0.000 0.500
```

Values from the calculation:
SG ... Immm, No. 71
Total magnetization ... 0.00 μB/cell

***

Stability comparison, relative energies in kJ/mol of atoms: a 0.8; b 0.0